No. 1
VASP calculation (GGA-PBE) on a relaxed structure of Na2BN.

Cell and atoms, written as CIF:
```
data_Na2BN
_chemical_formula_sum 'Na8 B4 N4'
_cell_length_a 5.6575
_cell_length_b 9.9334
_cell_length_c 5.2437
_cell_angle_alpha 90.00
_cell_angle_beta 90.00
_cell_angle_gamma 90.00
_space_group_name_H-M_alt 'P 1'
_space_group_IT_number 1
_space_group_name_Hall 'P 1'
loop_
_atom_site_label
_atom_site_fract_x
_atom_site_fract_y
_atom_site_fract_z
Na1 0.0174 0.2500 0.0000
Na2 0.0174 0.2500 0.5000
Na3 0.3230 0.5116 0.2500
Na4 0.3230 0.9884 0.7500
Na5 0.6770 0.0116 0.2500
Na6 0.6770 0.4884 0.7500
Na7 0.9826 0.7500 0.0000
Na8 0.9826 0.7500 0.5000
B1 0.4925 0.7500 0.0000
B2 0.4925 0.7500 0.5000
B3 0.5075 0.2500 0.0000
B4 0.5075 0.2500 0.5000
N1 0.4054 0.2475 0.7500
N2 0.4054 0.2525 0.2500
N3 0.5946 0.7475 0.7500
N4 0.5946 0.7525 0.2500
```

Values from the calculation:
Its symmetry is Pbcm (57). The value obtained for the density of states at the Fermi level is 7.54 states/eV per cell. The energy above the most stable polymorph in this dataset comes out at 0.000 eV/atom. For the formation energy (no corrections), the calculation gives -0.3 eV/f.u. The calculation puts the spin magnetization at 0.1 μB per formula unit.

No. 2
VASP calculation (GGA-PBE) on a relaxed structure of Tl2GaSn2.

Cell and atoms, written as CIF:
```
data_Tl2GaSn2
_chemical_formula_sum 'Tl4 Ga2 Sn4'
_cell_length_a 9.3934
_cell_length_b 9.3934
_cell_length_c 3.3855
_cell_angle_alpha 90.00
_cell_angle_beta 90.00
_cell_angle_gamma 90.00
_space_group_name_H-M_alt 'P 1'
_space_group_IT_number 1
_space_group_name_Hall 'P 1'
loop_
_atom_site_label
_atom_site_fract_x
_atom_site_fract_y
_atom_site_fract_z
Tl1 0.1527 0.3473 0.0000
Tl2 0.3473 0.8473 0.0000
Tl3 0.6527 0.1527 0.0000
Tl4 0.8473 0.6527 0.0000
Ga1 0.0000 0.0000 0.0000
Ga2 0.5000 0.5000 0.0000
Sn1 0.1451 0.6451 0.5000
Sn2 0.3549 0.1451 0.5000
Sn3 0.6451 0.8549 0.5000
Sn4 0.8549 0.3549 0.5000
```

Values from the calculation:
Its symmetry is P4/mbm (127). The value obtained for the density of states at the Fermi level is 5.51 states/eV per cell. The energy above the most stable polymorph in this dataset comes out at 0.176 eV/atom. The value obtained for the formation energy is 208 meV/atom. The calculation puts the spin magnetization at 0.0 μB per formula unit.

Question: The highest spin magnetization belongs to which entry?
Answer: Na2BN